Compound: La5PuHg6
Source: Alexandria via LeMat-Bulk
Functional: PBE-GGA
Structure: optimized geometry

Results
* crystal system: monoclinic

Lattice parameters (Å, degrees): 5.4745 7.8315 8.6499 90.00 108.31 90.00
Space group P2/m (No. 10)
Symmetry-distinct sites (fractional):
La 0.0000 0.0000 0.0000 (multiplicity 1)
La 0.3309 0.0000 0.6615 (multiplicity 2)
La 0.3376 0.5000 0.6752 (multiplicity 2)
Pu 0.0000 0.5000 0.0000 (multiplicity 1)
Hg 0.1652 0.2549 0.3305 (multiplicity 4)
Hg 0.5000 0.2485 0.0000 (multiplicity 2)

Compound: LaPuHg4
Source: Alexandria via LeMat-Bulk
Functional: PBE-GGA
Structure: optimized geometry

Results
* crystal system: orthorhombic
* excess energy over the best structure of this formula in the dataset: 0.000 eV per atom

Lattice parameters (Å, degrees): 3.3304 5.1452 8.8988 90.00 90.00 90.00
Space group Pmmm (No. 47)
Symmetry-distinct sites (fractional):
La 0.0000 0.0000 0.0000 (multiplicity 1)
Pu 0.0000 0.5000 0.5000 (multiplicity 1)
Hg 0.5000 0.0000 0.3361 (multiplicity 2)
Hg 0.5000 0.5000 0.1696 (multiplicity 2)

Compound: La2PuHg8
Source: Alexandria via LeMat-Bulk
Functional: PBE-GGA
Structure: optimized geometry

Results
* crystal system: orthorhombic

Lattice parameters (Å, degrees): 5.3120 7.4889 14.9858 90.00 90.00 90.00
Space group Immm (No. 71)
Symmetry-distinct sites (fractional):
La 0.0000 0.0000 0.1969 (multiplicity 4)
Pu 0.0000 0.0000 0.5000 (multiplicity 2)
Hg 0.0000 0.2144 0.0000 (multiplicity 4)
Hg 0.0000 0.2929 0.3585 (multiplicity 8)
Hg 0.0000 0.5000 0.1561 (multiplicity 4)

Compound: La3PuHg4
Source: Alexandria via LeMat-Bulk
Functional: PBE-GGA
Structure: optimized geometry

Results
* crystal system: tetragonal

Lattice parameters (Å, degrees): 3.8860 3.8860 15.4140 90.00 90.00 90.00
Space group P4/mmm (No. 123)
Symmetry-distinct sites (fractional):
La 0.0000 0.0000 0.0000 (multiplicity 1)
La 0.0000 0.0000 0.2559 (multiplicity 2)
Pu 0.0000 0.0000 0.5000 (multiplicity 1)
Hg 0.5000 0.5000 0.1272 (multiplicity 2)
Hg 0.5000 0.5000 0.3818 (multiplicity 2)

Calculated density of states at the Fermi level (states/eV/atom), listed in the same order as above: 1.630, 1.835, 1.567, 1.903
Calculated total DFT energy (no corrections) (eV per cell), listed in the same order as above: -46.00, -22.43, -59.53, -33.50
Calculated energy of formation (eV per atom), listed in the same order as above: -0.435, -0.327, -0.288, -0.397